14
Lattice="-4.585 -6.902 -3.689 1.899 -6.798 -5.698 0.572 -13.518 1.144" Properties=species:S:1:pos:R:3 comment="La5TbSm, optimized geometry, DFT PBE-GGA" de_polymorph_mev_per_atom=0 e_form_ev_per_atom=0.12 mass_density_g_cm3=6.58 dft_energy_ev_per_atom=-4.731 pbc="T T T"
La -1.992 -11.493 -6.900
La -0.574 -12.555 -2.449
La -1.633 -18.251 -6.350
La 0.492 -10.202 -4.931
La -1.287 -21.422 -5.212
La -0.828 -5.796 -3.030
La -2.607 -17.015 -3.311
La -0.482 -8.967 -1.893
La -1.541 -14.662 -5.794
La -0.123 -15.724 -1.343
Tb -2.902 -10.257 -3.880
Tb 0.787 -16.961 -4.362
Sm 0.000 0.000 0.000
Sm 0.286 -6.759 0.572